CaMnF2 | Alexandria via LeMat-Bulk | GGA+U | relaxed; VASP energy = -5.68 eV/atom; symmetry = R-3m (166)
1.0
2.093 0.000 6.735
-1.047 1.813 6.735
-1.047 -1.813 6.735
Ca Mn F
1 1 2
Direct
0.500 0.500 0.500
0.000 0.000 0.000
0.879 0.879 0.879
0.121 0.121 0.121